Entry from Alexandria: a geometry-optimized ZnCrBiF6 structure (PBE+U).

POSCAR file:
```
ZnCrBiF6
1.0
5.651 0.000 0.000
-2.825 4.894 0.000
0.000 0.000 9.921
Zn Cr Bi F
2 2 2 12
direct
0.333 0.667 0.250
0.667 0.333 0.750
0.333 0.667 0.750
0.667 0.333 0.250
0.000 0.000 0.000
0.000 0.000 0.500
0.029 0.353 0.135
0.029 0.676 0.365
0.324 0.353 0.365
0.324 0.971 0.135
0.353 0.029 0.635
0.353 0.324 0.865
0.647 0.676 0.135
0.647 0.971 0.365
0.676 0.029 0.865
0.676 0.647 0.635
0.971 0.324 0.635
0.971 0.647 0.865
```

Results
The calculation puts the density of states at the Fermi level at 3.93 states/eV/f.u. The final energy comes out at -4.7831 eV per atom. For the calculated volume, the calculation gives 137 Å³/f.u. The space group is P-31c (163).

=====

Entry from Alexandria: a geometry-optimized ZrCrBi2F structure (PBE+U).

POSCAR file:
```
ZrCrBi2F
1.0
5.693 0.000 0.000
0.000 5.693 0.000
0.000 0.000 3.742
Zr Cr Bi F
1 1 2 1
direct
0.000 0.000 0.000
0.500 0.500 0.500
0.000 0.500 0.500
0.500 0.000 0.500
0.500 0.500 0.000
```

Results
The calculation puts the density of states at the Fermi level at 2.53 states/eV/f.u. The final energy comes out at -5.5336 eV per atom. For the calculated volume, the calculation gives 121 Å³/f.u. The space group is P4/mmm (123).